Entry 1:
The following is a PBE calculation of an optimized crystal structure of Ho8TmSb6, from the Alexandria database.

Output
The crystal system is trigonal. The electronic total energy is -5.127 eV per atom. The calculation puts the raw formation energy at -0.738 eV/atom. The density of states at the Fermi level comes out at 0.546 states/eV per atom.

Lattice parameters (Å, degrees): 7.4549 7.4549 29.0629 90.00 90.00 120.00
Space group R-3 (No. 148, hexagonal axes)
Asymmetric unit:
Ho1 0.0000 0.0000 0.1667 (multiplicity 6)
Ho2 0.9996 0.3346 0.6195 (multiplicity 18)
Tm1 0.0000 0.0000 0.5000 (multiplicity 3)
Sb1 0.9998 0.3316 0.4387 (multiplicity 18)

Entry 2:
The following is a PBE calculation of an optimized crystal structure of Sr3Mg7Ir4, from the Alexandria database.

Output
The crystal system is monoclinic. The electronic total energy is -3.964 eV per atom. The density of states at the Fermi level comes out at 0.280 states/eV per atom.

Lattice parameters (Å, degrees): 16.671 4.435 10.557 90.00 126.50 90.00
Space group C2/m (No. 12)
Asymmetric unit:
Sr1 0.000 0.000 0.000 (multiplicity 2)
Sr2 0.192 0.500 0.706 (multiplicity 4)
Mg1 0.000 0.000 0.500 (multiplicity 2)
Mg2 0.011 0.500 0.275 (multiplicity 4)
Mg3 0.170 0.000 0.420 (multiplicity 4)
Mg4 0.187 0.500 0.018 (multiplicity 4)
Ir1 0.102 0.000 0.812 (multiplicity 4)
Ir2 0.169 0.500 0.270 (multiplicity 4)

Entry 3:
The following is a PBE calculation of an optimized crystal structure of LiZr2P, from the Alexandria database.

Output
The crystal system is trigonal. The electronic total energy is -6.577 eV per atom. The density of states at the Fermi level comes out at 0.408 states/eV per atom.

Lattice parameters (Å, degrees): 3.7030 3.7030 18.1969 90.00 90.00 120.00
Space group R3m (No. 160, hexagonal axes)
Asymmetric unit:
Li1 0.0000 0.0000 0.0000 (multiplicity 3)
Zr1 0.0000 0.0000 0.5685 (multiplicity 3)
Zr2 0.0000 0.0000 0.7685 (multiplicity 3)
P1 0.0000 0.0000 0.3347 (multiplicity 3)

Entry 4:
The following is a PBE calculation of an optimized crystal structure of Ac6OsRu2Br3, from the Alexandria database.

Output
The crystal system is monoclinic. The electronic total energy is -5.728 eV per atom. The calculation puts the raw formation energy at -0.773 eV/atom. The density of states at the Fermi level comes out at 0.611 states/eV per atom.

Lattice parameters (Å, degrees): 7.508 13.004 8.577 90.00 106.97 90.00
Space group C2/m (No. 12)
Asymmetric unit:
Ac1 0.231 0.166 0.194 (multiplicity 8)
Ac2 0.232 0.500 0.194 (multiplicity 4)
Os1 0.000 0.000 0.000 (multiplicity 2)
Ru1 0.000 0.333 0.000 (multiplicity 4)
Br1 0.000 0.167 0.500 (multiplicity 4)
Br2 0.000 0.500 0.500 (multiplicity 2)

Entry 5:
The following is a PBE calculation of an optimized crystal structure of K3LiTh3O8, from the Alexandria database.

Output
The crystal system is trigonal. The electronic total energy is -7.234 eV per atom. The calculation puts the raw formation energy at -2.759 eV/atom. The density of states at the Fermi level comes out at 0.000 states/eV per atom.

Lattice parameters (Å, degrees): 7.2517 7.2517 18.7869 90.00 90.00 120.00
Space group R-3m (No. 166, hexagonal axes)
Asymmetric unit:
K1 0.0000 0.5000 0.0000 (multiplicity 9)
Li1 0.0000 0.0000 0.5000 (multiplicity 3)
Th1 0.0000 0.5000 0.5000 (multiplicity 9)
O1 0.0000 0.0000 0.2321 (multiplicity 6)
O2 0.0183 0.5091 0.7757 (multiplicity 18)

Entry 6:
The following is a PBE calculation of an optimized crystal structure of Zr2BeOs, from the Alexandria database.

Output
The crystal system is monoclinic. The electronic total energy is -8.144 eV per atom. The density of states at the Fermi level comes out at 0.985 states/eV per atom.

Lattice parameters (Å, degrees): 9.853 3.149 4.608 90.00 106.03 90.00
Space group Cm (No. 8)
Asymmetric unit:
Zr1 0.000 0.000 0.000 (multiplicity 2)
Zr2 0.222 0.000 0.686 (multiplicity 2)
Be1 0.459 0.000 0.487 (multiplicity 2)
Os1 0.283 0.500 0.245 (multiplicity 2)

Entry 7:
The following is a PBE calculation of an optimized crystal structure of NdPaGa2O8, from the Alexandria database.

Output
The crystal system is tetragonal. The electronic total energy is -7.332 eV per atom. The calculation puts the raw formation energy at -2.334 eV/atom. The density of states at the Fermi level comes out at 1.027 states/eV per atom.

Lattice parameters (Å, degrees): 7.112 7.112 6.799 90.00 90.00 90.00
Space group I-4m2 (No. 119)
Asymmetric unit:
Nd1 0.000 0.000 0.000 (multiplicity 2)
Pa1 0.000 0.500 0.750 (multiplicity 2)
Ga1 0.000 0.000 0.500 (multiplicity 2)
Ga2 0.000 0.500 0.250 (multiplicity 2)
O1 0.000 0.194 0.685 (multiplicity 8)
O2 0.000 0.325 0.051 (multiplicity 8)

Entry 8:
The following is a PBE calculation of an optimized crystal structure of Sm2YCu2Ge2, from the Alexandria database.

Output
The crystal system is trigonal. The electronic total energy is -5.270 eV per atom. The density of states at the Fermi level comes out at 0.694 states/eV per atom.

Lattice parameters (Å, degrees): 4.2304 4.2304 30.9167 90.00 90.00 120.00
Space group R-3m (No. 166, hexagonal axes)
Asymmetric unit:
Sm1 0.0000 0.0000 0.1209 (multiplicity 6)
Y1 0.0000 0.0000 0.0000 (multiplicity 3)
Cu1 0.0000 0.0000 0.3915 (multiplicity 6)
Ge1 0.0000 0.0000 0.2719 (multiplicity 6)

Q: What is the electronic total energy in the fourth record?
A: -5.728 eV per atom

Q: Number 2 is which compound?
A: Sr3Mg7Ir4

Q: electronic total energy of number 5 (K3LiTh3O8)?
A: -7.234 eV per atom